1.
HfGaP, relaxed, DFT PBE-GGA; crystal system = tetragonal; energy of formation from the pure elements = -690.0 meV/atom; uncorrected energy = -40.92 eV/cell; N(E_F) = 2.00 states/eV per cell
1.0
3.721 0.000 0.000
0.000 3.721 0.000
0.000 0.000 7.644
Hf Ga P
2 2 2
direct
0.250 0.250 0.186 Hf
0.750 0.750 0.814 Hf
0.250 0.750 0.500 Ga
0.750 0.250 0.500 Ga
0.250 0.250 0.842 P
0.750 0.750 0.158 P



2.
PmMnSi2, relaxed, DFT PBE-GGA; crystal system = orthorhombic; relative energy among the computed polymorphs = 0 kJ/mol of formula units; energy relative to the elements, uncorrected = -231 kJ/mol of formula units; uncorrected energy = -108.63 eV/cell; N(E_F) = 8.95 states/eV per cell
1.0
7.264 0.000 0.000
0.000 3.894 0.000
0.000 0.000 10.030
Pm Mn Si
4 4 8
direct
0.138 0.250 0.130 Pm
0.362 0.750 0.630 Pm
0.638 0.250 0.370 Pm
0.862 0.750 0.870 Pm
0.009 0.750 0.394 Mn
0.491 0.250 0.894 Mn
0.509 0.750 0.106 Mn
0.991 0.250 0.606 Mn
0.167 0.250 0.813 Si
0.205 0.250 0.432 Si
0.295 0.750 0.932 Si
0.333 0.750 0.313 Si
0.667 0.250 0.687 Si
0.705 0.250 0.068 Si
0.795 0.750 0.568 Si
0.833 0.750 0.187 Si



3.
ThSi3Ir, relaxed, DFT PBE-GGA; crystal system = monoclinic; energy relative to the elements, uncorrected = -400 kJ/mol of formula units; uncorrected energy = -36.69 eV/cell; N(E_F) = 2.29 states/eV per cell
1.0
3.030 -3.029 0.000
3.030 3.029 0.000
-3.028 0.000 4.854
Th Si Ir
1 3 1
direct
0.000 0.000 0.000 Th
0.236 0.734 0.470 Si
0.592 0.592 0.184 Si
0.734 0.236 0.470 Si
0.345 0.345 0.692 Ir